[1]
SrCa2ZnO4: optimized geometry, PBE.

Lattice parameters (Å, degrees): 3.4104 6.0226 11.8227 90.00 90.00 106.45
Last column: nearest neighbours and their distance in Å.
Fractional positions:
Sr (0.1128, 0.2256, 0.7500)  6 O 2.61-2.68
Sr (0.8872, 0.7744, 0.2500)  6 O 2.61-2.68
Ca (0.3706, 0.7412, 0.5425)  5 O 2.31-2.49
Ca (0.6294, 0.2588, 0.0425)  5 O 2.31-2.49
Ca (0.6294, 0.2588, 0.4575)  5 O 2.31-2.49
Ca (0.3706, 0.7412, 0.9575)  5 O 2.31-2.49
Zn (0.8448, 0.6897, 0.7500)  4 O 1.96-2.04
Zn (0.1552, 0.3103, 0.2500)  4 O 1.96-2.04
O (0.2641, 0.5281, 0.1224)  1 Zn 1.96
O (0.7359, 0.4719, 0.6224)  1 Zn 1.96
O (0.7359, 0.4719, 0.8776)  1 Zn 1.96
O (0.2641, 0.5281, 0.3776)  1 Zn 1.96
O (0.0000, 0.0000, 0.5000)  4 Ca 2.32
O (0.0000, 0.0000, 0.0000)  4 Ca 2.32
O (0.4413, 0.8827, 0.7500)  2 Zn 2.04
O (0.5587, 0.1173, 0.2500)  2 Zn 2.04



[2]
Sr2CaZnO4: optimized geometry, PBE.

Lattice parameters (Å, degrees): 3.4711 6.1012 12.4690 90.00 90.00 106.53
Last column: nearest neighbours and their distance in Å.
Fractional positions:
Sr (0.3690, 0.7381, 0.5458)  5 O 2.38-2.64
Sr (0.6310, 0.2619, 0.0458)  5 O 2.38-2.64
Sr (0.6310, 0.2619, 0.4542)  5 O 2.38-2.64
Sr (0.3690, 0.7381, 0.9542)  5 O 2.38-2.64
Ca (0.1191, 0.2381, 0.7500)  6 O 2.59-2.68
Ca (0.8809, 0.7619, 0.2500)  6 O 2.59-2.68
Zn (0.8449, 0.6898, 0.7500)  4 O 1.99-2.09
Zn (0.1551, 0.3102, 0.2500)  4 O 1.99-2.09
O (0.2725, 0.5450, 0.1348)  1 Zn 1.99
O (0.7275, 0.4550, 0.6348)  1 Zn 1.99
O (0.7275, 0.4550, 0.8652)  1 Zn 1.99
O (0.2725, 0.5450, 0.3652)  1 Zn 1.99
O (0.0000, 0.0000, 0.5000)  4 Sr 2.38
O (0.0000, 0.0000, 0.0000)  4 Sr 2.38
O (0.4447, 0.8893, 0.7500)  2 Zn 2.09
O (0.5553, 0.1107, 0.2500)  2 Zn 2.09



[3]
SrCaZr4O12: optimized geometry, PBE.

Lattice parameters (Å, degrees): 5.8060 5.8060 8.3855 90.00 90.00 92.61
Last column: nearest neighbours and their distance in Å.
Fractional positions:
Sr (0.9393, 0.9393, 0.0000)  8 O 2.54-2.73
Ca (0.5440, 0.5440, 0.5000)  6 O 2.31-2.54
Zr (0.0209, 0.4805, 0.7393)  5 O 2.04-2.19
Zr (0.0209, 0.4805, 0.2607)  5 O 2.04-2.19
Zr (0.4805, 0.0209, 0.2607)  5 O 2.04-2.19
Zr (0.4805, 0.0209, 0.7393)  5 O 2.04-2.19
O (0.7978, 0.1995, 0.7804)  2 Zr 2.07-2.10
O (0.1995, 0.7978, 0.7804)  2 Zr 2.07-2.10
O (0.1995, 0.7978, 0.2196)  2 Zr 2.07-2.10
O (0.7978, 0.1995, 0.2196)  2 Zr 2.07-2.10
O (0.3189, 0.3189, 0.6924)  2 Zr 2.04
O (0.7155, 0.7155, 0.7553)  2 Zr 2.29, 1 Ca 2.54
O (0.7155, 0.7155, 0.2447)  2 Zr 2.29, 1 Ca 2.54
O (0.3189, 0.3189, 0.3076)  2 Zr 2.04
O (0.0147, 0.4786, 0.0000)  2 Zr 2.19
O (0.9378, 0.5073, 0.5000)  2 Zr 2.07, 1 Ca 2.31
O (0.4786, 0.0147, 0.0000)  2 Zr 2.19
O (0.5073, 0.9378, 0.5000)  2 Zr 2.07, 1 Ca 2.31



[4]
Sr2CaZrO: optimized geometry, PBE.

Lattice parameters (Å, degrees): 7.0201 4.0595 7.0201 90.00 90.00 90.00
Last column: nearest neighbours and their distance in Å.
Fractional positions:
Sr (0.0000, 0.0000, 0.5000)  2 Zr 3.51
Sr (0.5000, 0.0000, 0.0000)  2 Zr 3.51
Ca (0.5000, 0.5000, 0.5000)  8 Sr 4.05, 2 Ca 4.06
O (0.0000, 0.5000, 0.0000)  2 Zr 2.03
Zr (0.0000, 0.0000, 0.0000)  2 O 2.03



[5]
Ca4Ta6O19: optimized geometry, PBE.

Lattice parameters (Å, degrees): 8.0950 8.0950 8.0950 109.47 109.47 109.47
Last column: nearest neighbours and their distance in Å.
Fractional positions:
Ca (0.0000, 0.0000, 0.7199)  4 O 2.27-2.48
Ca (0.0000, 0.7199, 0.0000)  4 O 2.27-2.48
Ca (0.2801, 0.2801, 0.2801)  4 O 2.27-2.48
Ca (0.7199, 0.0000, 0.0000)  4 O 2.27-2.48
Ta (0.3337, 0.5000, 0.8337)  6 O 1.97-2.02
Ta (0.6663, 0.5000, 0.1663)  6 O 1.97-2.02
Ta (0.1663, 0.6663, 0.5000)  6 O 1.97-2.02
Ta (0.8337, 0.3337, 0.5000)  6 O 1.97-2.02
Ta (0.5000, 0.8337, 0.3337)  6 O 1.97-2.02
Ta (0.5000, 0.1663, 0.6663)  6 O 1.97-2.02
O (0.6382, 0.0000, 0.6382)  2 Ta 2.02
O (0.3618, 0.0000, 0.3618)  2 Ta 2.02
O (0.3618, 0.3618, 0.0000)  2 Ta 2.02
O (0.6382, 0.6382, 0.0000)  2 Ta 2.02
O (0.0000, 0.6382, 0.6382)  2 Ta 2.02
O (0.0000, 0.3618, 0.3618)  2 Ta 2.02
O (0.0000, 0.0000, 0.0000)  4 Ca 2.27
O (0.3539, 0.3117, 0.6154)  2 Ta 1.97-2.01
O (0.6461, 0.2615, 0.9578)  2 Ta 1.97-2.01
O (0.6964, 0.7385, 0.3846)  2 Ta 1.97-2.01
O (0.9578, 0.6461, 0.2615)  2 Ta 1.97-2.01
O (0.3036, 0.6883, 0.0422)  2 Ta 1.97-2.01
O (0.6154, 0.3539, 0.3117)  2 Ta 1.97-2.01
O (0.0422, 0.3036, 0.6883)  2 Ta 1.97-2.01
O (0.3846, 0.6964, 0.7385)  2 Ta 1.97-2.01
O (0.6883, 0.0422, 0.3036)  2 Ta 1.97-2.01
O (0.2615, 0.9578, 0.6461)  2 Ta 1.97-2.01
O (0.3117, 0.6154, 0.3539)  2 Ta 1.97-2.01
O (0.7385, 0.3846, 0.6964)  2 Ta 1.97-2.01



[6]
CaTa4O8: optimized geometry, PBE.

Lattice parameters (Å, degrees): 5.9868 5.9868 6.7853 104.45 101.64 119.25
Last column: nearest neighbours and their distance in Å.
Fractional positions:
Ca (0.0000, 0.5000, 0.5000)  6 O 2.38-2.41
Ta (0.2742, 0.2742, 0.0000)  6 O 2.13-2.17
Ta (0.7258, 0.7258, 0.0000)  6 O 2.13-2.17
Ta (0.2731, 0.7507, 0.0237)  6 O 2.06-2.16
Ta (0.7269, 0.2493, 0.9763)  6 O 2.06-2.16
O (0.6950, 0.0426, 0.1987)  3 Ta 2.07-2.16
O (0.1560, 0.5036, 0.1987)  3 Ta 2.07-2.16
O (0.7038, 0.5195, 0.2233)  3 Ta 2.10-2.17
O (0.1639, 0.0062, 0.1701)  3 Ta 2.06-2.13
O (0.8361, 0.9938, 0.8299)  3 Ta 2.06-2.13
O (0.2962, 0.4805, 0.7767)  3 Ta 2.10-2.17
O (0.8440, 0.4964, 0.8013)  3 Ta 2.07-2.16
O (0.3050, 0.9574, 0.8013)  3 Ta 2.07-2.16



[7]
CaTa4O14: optimized geometry, PBE.

Lattice parameters (Å, degrees): 7.5229 7.5229 7.5229 59.26 59.26 59.26
Last column: nearest neighbours and their distance in Å.
Fractional positions:
Ca (0.5000, 0.5000, 0.5000)  8 O 2.54-2.63
O (0.9232, 0.3164, 0.3164)  2 Ta 1.99
O (0.3110, 0.9403, 0.9403)  2 Ta 1.98
O (0.3164, 0.3164, 0.9232)  2 Ta 1.99
O (0.9403, 0.9403, 0.3110)  2 Ta 1.98
O (0.9403, 0.3110, 0.9403)  2 Ta 1.98
O (0.3164, 0.9232, 0.3164)  2 Ta 1.99
O (0.0768, 0.6836, 0.6836)  2 Ta 1.99
O (0.6890, 0.0597, 0.0597)  2 Ta 1.98
O (0.6836, 0.6836, 0.0768)  2 Ta 1.99
O (0.0597, 0.0597, 0.6890)  2 Ta 1.98
O (0.0597, 0.6890, 0.0597)  2 Ta 1.98
O (0.6836, 0.0768, 0.6836)  2 Ta 1.99
O (0.3631, 0.3631, 0.3631)  1 Ca 2.54
O (0.6369, 0.6369, 0.6369)  1 Ca 2.54
Ta (0.0000, 0.0000, 0.0000)  6 O 1.98
Ta (0.5000, 0.0000, 0.0000)  6 O 1.98-1.99
Ta (0.0000, 0.0000, 0.5000)  6 O 1.98-1.99
Ta (0.0000, 0.5000, 0.0000)  6 O 1.98-1.99



[8]
CaTaO3: optimized geometry, PBE.

Lattice parameters (Å, degrees): 2.9897 6.8789 6.9820 99.44 102.36 90.00
Last column: nearest neighbours and their distance in Å.
Fractional positions:
Ca (0.8272, 0.7279, 0.6544)  6 O 2.26-2.53
Ca (0.1728, 0.2721, 0.3456)  6 O 2.26-2.53
Ta (0.5964, 0.7537, 0.1928)  1 O 1.83
Ta (0.4036, 0.2463, 0.8072)  1 O 1.83
O (0.9907, 0.7057, 0.9815)  2 Ta 2.06, 1 Ca 2.26
O (0.0093, 0.2943, 0.0185)  2 Ta 2.06, 1 Ca 2.26
O (0.3577, 0.9806, 0.7154)  1 Ta 1.83
O (0.6423, 0.0194, 0.2846)  1 Ta 1.83
O (0.1850, 0.6426, 0.3700)  2 Ta 2.14
O (0.8150, 0.3574, 0.6300)  2 Ta 2.14



[9]
CaTa4O11: optimized geometry, PBE.

Lattice parameters (Å, degrees): 6.2815 6.2815 12.3871 90.00 90.00 120.00
Last column: nearest neighbours and their distance in Å.
Fractional positions:
Ca (0.3333, 0.6667, 0.7500)  8 O 2.48-2.68
Ca (0.6667, 0.3333, 0.2500)  8 O 2.48-2.68
Ta (0.6667, 0.3333, 0.7500)  6 O 2.00
Ta (0.3333, 0.6667, 0.2500)  6 O 2.00
Ta (0.6422, 0.0000, 0.5000)  6 O 1.98-2.06
Ta (0.6422, 0.6422, 0.0000)  6 O 1.98-2.06
Ta (0.0000, 0.3578, 0.0000)  6 O 1.98-2.06
Ta (0.0000, 0.6422, 0.5000)  6 O 1.98-2.06
Ta (0.3578, 0.3578, 0.5000)  6 O 1.98-2.06
Ta (0.3578, 0.0000, 0.0000)  6 O 1.98-2.06
O (0.3333, 0.6667, 0.5337)  3 Ta 2.06
O (0.6667, 0.3333, 0.0337)  3 Ta 2.06
O (0.6667, 0.3333, 0.4663)  3 Ta 2.06
O (0.3333, 0.6667, 0.9663)  3 Ta 2.06
O (0.2445, 0.0000, 0.5000)  2 Ta 1.99
O (0.2445, 0.2445, 0.0000)  2 Ta 1.99
O (0.0000, 0.7555, 0.0000)  2 Ta 1.99
O (0.0000, 0.2445, 0.5000)  2 Ta 1.99
O (0.7555, 0.7555, 0.5000)  2 Ta 1.99
O (0.7555, 0.0000, 0.0000)  2 Ta 1.99
O (0.3796, 0.9453, 0.1557)  2 Ta 1.98-2.00
O (0.4343, 0.3796, 0.6557)  2 Ta 1.98-2.00
O (0.9453, 0.5657, 0.6557)  2 Ta 1.98-2.00
O (0.0547, 0.4343, 0.1557)  2 Ta 1.98-2.00
O (0.5657, 0.6204, 0.1557)  2 Ta 1.98-2.00
O (0.4343, 0.0547, 0.8443)  2 Ta 1.98-2.00
O (0.6204, 0.5657, 0.8443)  2 Ta 1.98-2.00
O (0.6204, 0.0547, 0.6557)  2 Ta 1.98-2.00
O (0.9453, 0.3796, 0.8443)  2 Ta 1.98-2.00
O (0.0547, 0.6204, 0.3443)  2 Ta 1.98-2.00
O (0.5657, 0.9453, 0.3443)  2 Ta 1.98-2.00
O (0.3796, 0.4343, 0.3443)  2 Ta 1.98-2.00



[10]
CaTaO2: optimized geometry, PBE.

Values from the calculation:
Energy relative to the lowest polymorph listed for this composition = 471 meV/atom

Lattice parameters (Å, degrees): 4.8115 4.8115 6.6170 68.68 68.68 90.00
Last column: nearest neighbours and their distance in Å.
Fractional positions:
Ca (0.5000, 0.5000, 0.0000)  4 O 2.50
Ca (0.2500, 0.7500, 0.5000)  4 O 2.50
O (0.7212, 0.1250, 0.2500)  2 Ta 2.00
O (0.0288, 0.6250, 0.2500)  2 Ta 2.00
O (0.3750, 0.2788, 0.7500)  2 Ta 2.00
O (0.8750, 0.9712, 0.7500)  2 Ta 2.00
Ta (0.0000, 0.0000, 0.0000)  4 O 2.00
Ta (0.7500, 0.2500, 0.5000)  4 O 2.00



[11]
CaTaO2: optimized geometry, PBE.

Values from the calculation:
Energy relative to the lowest polymorph listed for this composition = 0 meV/atom

Lattice parameters (Å, degrees): 6.6338 6.6338 6.6338 29.02 29.02 29.02
Last column: nearest neighbours and their distance in Å.
Fractional positions:
Ca (0.5000, 0.5000, 0.5000)  6 O 2.30
O (0.8994, 0.8994, 0.8994)  1 Ta 1.92
O (0.1006, 0.1006, 0.1006)  1 Ta 1.92
Ta (0.0000, 0.0000, 0.0000)  2 O 1.92



[12]
Ca2TaO: optimized geometry, PBE.

Lattice parameters (Å, degrees): 6.7446 6.7446 6.4254 58.34 58.34 90.00
Last column: nearest neighbours and their distance in Å.
Fractional positions:
Ca (0.4946, 0.1250, 0.2500)  2 O 2.16
Ca (0.2554, 0.6250, 0.2500)  2 O 2.16
Ca (0.3750, 0.5054, 0.7500)  2 O 2.16
Ca (0.8750, 0.7446, 0.7500)  2 O 2.16
O (0.5000, 0.5000, 0.0000)  4 Ca 2.16
O (0.2500, 0.7500, 0.5000)  4 Ca 2.16
Ta (0.0000, 0.0000, 0.0000)  4 Ca 3.25
Ta (0.7500, 0.2500, 0.5000)  4 Ca 3.25



[13]
CaTa3O7: optimized geometry, PBE.

Lattice parameters (Å, degrees): 5.5415 5.5415 5.5415 104.34 104.34 104.34
Last column: nearest neighbours and their distance in Å.
Fractional positions:
Ca (0.7973, 0.7973, 0.7973)  4 O 2.16-2.33
Ta (0.0724, 0.4129, 0.4129)  1 O 1.83
Ta (0.4129, 0.4129, 0.0724)  1 O 1.83
Ta (0.4129, 0.0724, 0.4129)  1 O 1.83
O (0.1581, 0.7026, 0.7026)  1 Ta 1.83
O (0.2191, 0.2191, 0.6575)  3 Ta 2.06-2.14
O (0.6575, 0.2191, 0.2191)  3 Ta 2.06-2.14
O (0.7026, 0.7026, 0.1581)  1 Ta 1.83
O (0.7026, 0.1581, 0.7026)  1 Ta 1.83
O (0.1141, 0.1141, 0.1141)  3 Ta 2.13, 1 Ca 2.16
O (0.2191, 0.6575, 0.2191)  3 Ta 2.06-2.14



[14]
CaTaO2: optimized geometry, PBE.

Values from the calculation:
Energy relative to the lowest polymorph listed for this composition = 1094 meV/atom

Lattice parameters (Å, degrees): 4.0011 4.0011 4.0011 60.00 60.00 60.00
Last column: nearest neighbours and their distance in Å.
Fractional positions:
Ca (0.0000, 0.0000, 0.0000)  8 O 2.45
O (0.2500, 0.2500, 0.2500)  4 Ta 2.45, 4 Ca 2.45
O (0.7500, 0.7500, 0.7500)  4 Ca 2.45, 4 Ta 2.45
Ta (0.5000, 0.5000, 0.5000)  8 O 2.45



[15]
CaTaO3: optimized geometry, PBE.

Lattice parameters (Å, degrees): 3.2909 5.3603 7.5621 90.00 90.00 90.00
Last column: nearest neighbours and their distance in Å.
Fractional positions:
Ca (0.5000, 0.5431, 0.7500)  6 O 2.30-2.49
Ca (0.5000, 0.4569, 0.2500)  6 O 2.30-2.49
Ta (0.0000, 0.0000, 0.5000)  6 O 2.05-2.09
Ta (0.0000, 0.0000, 0.0000)  6 O 2.05-2.09
O (0.5000, 0.7652, 0.4606)  2 Ta 2.09, 1 Ca 2.30
O (0.5000, 0.7652, 0.0394)  2 Ta 2.09, 1 Ca 2.30
O (0.5000, 0.2348, 0.5394)  2 Ta 2.09, 1 Ca 2.30
O (0.0000, 0.1467, 0.2500)  2 Ta 2.05
O (0.5000, 0.2348, 0.9606)  2 Ta 2.09, 1 Ca 2.30
O (0.0000, 0.8533, 0.7500)  2 Ta 2.05



[16]
Ca3TaO: optimized geometry, PBE.

Values from the calculation:
Energy relative to the lowest polymorph listed for this composition = 1737 meV/atom

Lattice parameters (Å, degrees): 5.4949 5.4949 5.4949 90.00 90.00 90.00
Last column: nearest neighbours and their distance in Å.
Fractional positions:
Ca (0.0000, 0.5000, 0.0000)  2 Ta 2.75
Ca (0.0000, 0.0000, 0.5000)  2 Ta 2.75
Ca (0.5000, 0.0000, 0.0000)  2 Ta 2.75
O (0.5000, 0.5000, 0.5000)  12 Ca 3.89
Ta (0.0000, 0.0000, 0.0000)  6 Ca 2.75



[17]
Ca3TaO: optimized geometry, PBE.

Values from the calculation:
Energy relative to the lowest polymorph listed for this composition = 0 meV/atom

Lattice parameters (Å, degrees): 4.8858 4.8858 4.8858 90.00 90.00 90.00
Last column: nearest neighbours and their distance in Å.
Fractional positions:
Ca (0.0000, 0.5000, 0.0000)  2 O 2.44
Ca (0.0000, 0.0000, 0.5000)  2 O 2.44
Ca (0.5000, 0.0000, 0.0000)  2 O 2.44
O (0.0000, 0.0000, 0.0000)  6 Ca 2.44
Ta (0.5000, 0.5000, 0.5000)  12 Ca 3.45



[18]
Ca2Ta2O7: optimized geometry, PBE.

Lattice parameters (Å, degrees): 7.4487 7.4487 7.4487 60.00 60.00 60.00
Last column: nearest neighbours and their distance in Å.
Fractional positions:
Ca (0.1250, 0.1250, 0.6250)  2 O 2.28
Ca (0.1250, 0.6250, 0.1250)  2 O 2.28
Ca (0.6250, 0.1250, 0.1250)  2 O 2.28
Ca (0.1250, 0.1250, 0.1250)  2 O 2.28
Ta (0.6250, 0.6250, 0.1250)  6 O 1.99
Ta (0.6250, 0.1250, 0.6250)  6 O 1.99
Ta (0.1250, 0.6250, 0.6250)  6 O 1.99
Ta (0.6250, 0.6250, 0.6250)  6 O 1.99
O (0.3081, 0.6919, 0.3081)  2 Ta 1.99
O (0.5581, 0.9419, 0.5581)  2 Ta 1.99
O (0.3081, 0.3081, 0.6919)  2 Ta 1.99
O (0.6919, 0.3081, 0.3081)  2 Ta 1.99
O (0.3081, 0.6919, 0.6919)  2 Ta 1.99
O (0.6919, 0.6919, 0.3081)  2 Ta 1.99
O (0.9419, 0.9419, 0.5581)  2 Ta 1.99
O (0.5581, 0.5581, 0.9419)  2 Ta 1.99
O (0.0000, 0.0000, 0.0000)  4 Ca 2.28
O (0.2500, 0.2500, 0.2500)  4 Ca 2.28
O (0.6919, 0.3081, 0.6919)  2 Ta 1.99
O (0.9419, 0.5581, 0.5581)  2 Ta 1.99
O (0.5581, 0.9419, 0.9419)  2 Ta 1.99
O (0.9419, 0.5581, 0.9419)  2 Ta 1.99



[19]
Ca2TaTcO6: optimized geometry, PBE.

Lattice parameters (Å, degrees): 3.9662 5.7120 5.7120 90.00 90.00 90.00
Last column: nearest neighbours and their distance in Å.
Fractional positions:
Ca (0.0416, 0.5000, 0.0000)  4 O 2.48
Ca (0.0416, 0.0000, 0.5000)  4 O 2.48
Ta (0.6430, 0.0000, 0.0000)  6 O 1.93-2.04
Tc (0.6711, 0.5000, 0.5000)  6 O 1.98-2.07
O (0.6801, 0.2441, 0.2441)  1 Ta 1.98, 1 Tc 2.07
O (0.6801, 0.2441, 0.7559)  1 Ta 1.98, 1 Tc 2.07
O (0.1716, 0.5000, 0.5000)  2 Tc 1.98
O (0.1572, 0.0000, 0.0000)  2 Ta 1.93-2.04
O (0.6801, 0.7559, 0.7559)  1 Ta 1.98, 1 Tc 2.07
O (0.6801, 0.7559, 0.2441)  1 Ta 1.98, 1 Tc 2.07



Listing N(E_F) for the structures above in their given order: 0.00; 0.00; 0.29; 0.77; 0.00; 0.23; 0.56; 0.27; 0.00; 0.85; 0.36; 0.24; 0.56; 0.59; 0.30; 1.60; 0.89; 0.00; 0.29 states/eV/atom.
Listing formation energy (no corrections) for the structures above in their given order: -2.49; -2.31; -2.64; -0.39; -2.93; -2.44; -2.03; -2.61; -2.95; -1.82; -2.30; -0.24; -2.35; -1.20; -2.70; 1.27; -0.47; -3.04; -2.45 eV per atom.
Listing total magnetization for the structures above in their given order: 0.00; 0.00; 0.22; 0.16; 0.00; 0.00; 0.32; 0.00; 0.00; 0.00; 0.00; 0.00; 0.04; 0.00; 0.16; 0.42; 0.67; 0.00; 0.04 μB per atom.